No. 1
Material: ErMn6Al6
Method: DFT, GGA-PBEsol
State: relaxed

```
ErMn6Al6
1.0
-2.433 4.207 4.264
2.433 -4.207 4.264
2.433 4.207 -4.264
Er Mn Al
1 6 6
direct
0.000 0.000 0.000
0.000 0.000 0.500
0.000 0.500 0.000
0.240 0.740 0.500
0.500 0.000 0.000
0.500 0.500 0.500
0.760 0.260 0.500
0.194 0.500 0.694
0.341 0.341 0.000
0.347 0.000 0.347
0.653 0.000 0.653
0.659 0.659 0.000
0.806 0.500 0.306
```

- Symmetry: Immm
- DOS(E_F): 0.79 states/eV per atom
- Energy of formation from the pure elements: -0.23 eV per atom
- Total DFT energy (no corrections): -7.000 eV/atom

---

No. 2
Material: AsPdN2
Method: DFT, GGA-PBEsol
State: relaxed

```
AsPdN2
1.0
1.448 0.836 6.059
-1.448 0.836 6.059
0.000 -1.672 6.059
As Pd N
1 1 2
direct
0.000 0.000 0.000
0.500 0.500 0.500
0.390 0.390 0.390
0.610 0.610 0.610
```

- Symmetry: R-3m
- DOS(E_F): 0.07 states/eV per atom
- Uncorrected formation energy: 0.306 eV per atom
- Total DFT energy (no corrections): -6.724 eV/atom

---

No. 3
Material: La2NiCl
Method: DFT, GGA-PBEsol
State: relaxed

```
La2NiCl
1.0
-1.972 1.972 6.095
1.972 -1.972 6.095
1.972 1.972 -6.095
La Ni Cl
2 1 1
direct
0.000 0.000 0.000
0.750 0.250 0.500
0.500 0.500 0.000
0.250 0.750 0.500
```

- Symmetry: I-4m2
- DOS(E_F): 0.87 states/eV per atom
- Uncorrected formation energy: -0.669 eV per atom
- Total DFT energy (no corrections): -5.383 eV/atom

---

No. 4
Material: Y2AlTl
Method: DFT, GGA-PBEsol
State: relaxed

```
Y2AlTl
1.0
-2.185 2.185 5.202
2.185 -2.185 5.202
2.185 2.185 -5.202
Y Al Tl
2 1 1
direct
0.000 0.000 0.000
0.750 0.250 0.500
0.500 0.500 0.000
0.250 0.750 0.500
```

- Symmetry: I-4m2
- DOS(E_F): 0.94 states/eV per atom
- Energy of formation from the pure elements: -0.31 eV per atom
- Total DFT energy (no corrections): -5.402 eV/atom

---

No. 5
Material: K2AlCd
Method: DFT, GGA-PBEsol
State: relaxed

```
K2AlCd
1.0
3.707 0.000 0.000
0.000 3.916 0.000
0.000 0.000 10.066
K Al Cd
2 1 1
direct
0.000 0.000 0.000
0.500 0.500 0.399
0.000 0.000 0.648
0.500 0.500 0.747
```

- Symmetry: Pmm2
- DOS(E_F): 0.54 states/eV per atom
- Energy of formation from the pure elements: 0.16 eV per atom
- Total DFT energy (no corrections): -1.724 eV/atom

---

No. 6
Material: ScFeP3
Method: DFT, GGA-PBEsol
State: relaxed

```
ScFeP3
1.0
4.365 0.000 0.000
0.000 4.365 0.000
0.000 0.000 4.365
Sc Fe P
1 1 3
direct
0.000 0.000 0.000
0.500 0.500 0.500
0.000 0.500 0.500
0.500 0.000 0.500
0.500 0.500 0.000
```

- Symmetry: Pm-3m
- DOS(E_F): 1.07 states/eV per atom
- Energy of formation from the pure elements: 0.02 eV per atom
- Total DFT energy (no corrections): -6.569 eV/atom

---

No. 7
Material: BaCoHg2
Method: DFT, GGA-PBEsol
State: relaxed

```
BaCoHg2
1.0
4.496 0.000 0.000
0.000 4.496 0.000
0.000 0.000 4.912
Ba Co Hg
1 1 2
direct
0.000 0.000 0.000
0.500 0.500 0.000
0.000 0.500 0.500
0.500 0.000 0.500
```

- Symmetry: P4/mmm
- DOS(E_F): 1.43 states/eV per atom
- Energy of formation from the pure elements: 0.33 eV per atom
- Total DFT energy (no corrections): -2.425 eV/atom

---

No. 8
Material: Nb6C5
Method: DFT, GGA-PBEsol
State: relaxed

```
Nb6C5
1.0
2.739 -4.732 0.000
2.739 4.732 0.000
-1.838 0.000 5.145
Nb C
6 5
direct
0.065 0.417 0.746
0.236 0.236 0.264
0.417 0.065 0.746
0.583 0.935 0.254
0.764 0.764 0.736
0.935 0.583 0.254
0.000 0.000 0.500
0.165 0.835 0.000
0.334 0.666 0.500
0.666 0.334 0.500
0.835 0.165 0.000
```

- Symmetry: C2/m
- DOS(E_F): 0.35 states/eV per atom
- Energy of formation from the pure elements: -0.62 eV per atom
- Total DFT energy (no corrections): -10.907 eV/atom

---

No. 9
Material: ZrZn2Sb
Method: DFT, GGA-PBEsol
State: relaxed

```
ZrZn2Sb
1.0
4.984 0.000 0.000
0.000 3.064 0.000
-2.009 0.000 4.947
Zr Zn Sb
1 2 1
direct
0.000 0.000 0.000
0.000 0.500 0.500
0.500 0.000 0.500
0.500 0.500 0.000
```

- Symmetry: P2/m
- DOS(E_F): 0.50 states/eV per atom
- Uncorrected formation energy: -0.148 eV per atom
- Total DFT energy (no corrections): -4.351 eV/atom

---

No. 10
Material: USi3Ni2
Method: DFT, GGA-PBEsol
State: relaxed

```
USi3Ni2
1.0
-1.935 1.935 11.689
1.935 -1.935 11.689
1.935 1.935 -11.689
U Si Ni
2 6 4
direct
0.151 0.151 0.000
0.849 0.849 0.000
0.050 0.550 0.500
0.303 0.303 0.000
0.450 0.950 0.500
0.550 0.050 0.500
0.697 0.697 0.000
0.950 0.450 0.500
0.250 0.750 0.500
0.400 0.400 0.000
0.600 0.600 0.000
0.750 0.250 0.500
```

- Symmetry: I4/mmm
- DOS(E_F): 1.40 states/eV per atom
- Uncorrected formation energy: -0.538 eV per atom
- Total DFT energy (no corrections): -7.491 eV/atom

---

No. 11
Material: Zn2PbAu2
Method: DFT, GGA-PBEsol
State: relaxed

```
Zn2PbAu2
1.0
-2.021 2.021 5.855
2.021 -2.021 5.855
2.021 2.021 -5.855
Zn Pb Au
2 1 2
direct
0.105 0.105 0.000
0.895 0.895 0.000
0.500 0.500 0.000
0.250 0.750 0.500
0.750 0.250 0.500
```

- Symmetry: I4/mmm
- DOS(E_F): 0.35 states/eV per atom
- Energy of formation from the pure elements: -0.04 eV per atom
- Total DFT energy (no corrections): -3.043 eV/atom

---

No. 12
Material: Li27Sb10
Method: DFT, GGA-PBEsol
State: relaxed

```
Li27Sb10
1.0
3.938 -11.464 0.000
3.938 11.464 0.000
-2.540 0.000 7.453
Li Sb
27 10
direct
0.000 0.000 0.000
0.010 0.223 0.881
0.088 0.686 0.649
0.102 0.898 0.500
0.148 0.148 0.385
0.155 0.566 0.114
0.223 0.010 0.881
0.289 0.471 0.617
0.304 0.696 0.500
0.314 0.912 0.351
0.388 0.388 0.145
0.397 0.603 0.000
0.434 0.845 0.886
0.471 0.289 0.617
0.529 0.711 0.383
0.566 0.155 0.114
0.603 0.397 0.000
0.612 0.612 0.855
0.686 0.088 0.649
0.696 0.304 0.500
0.711 0.529 0.383
0.777 0.990 0.119
0.845 0.434 0.886
0.852 0.852 0.615
0.898 0.102 0.500
0.912 0.314 0.351
0.990 0.777 0.119
0.064 0.454 0.735
0.152 0.354 0.248
0.234 0.234 0.762
0.354 0.152 0.248
0.454 0.064 0.735
0.546 0.936 0.265
0.646 0.848 0.752
0.766 0.766 0.238
0.848 0.646 0.752
0.936 0.546 0.265
```

- Symmetry: C2/m
- DOS(E_F): 0.30 states/eV per atom
- Uncorrected formation energy: -0.619 eV per atom
- Total DFT energy (no corrections): -3.285 eV/atom

---

No. 13
Material: Y2MoP
Method: DFT, GGA-PBEsol
State: relaxed

```
Y2MoP
1.0
3.286 0.000 0.000
0.000 3.286 0.000
0.000 0.000 7.860
Y Mo P
2 1 1
direct
0.000 0.000 0.000
0.500 0.500 0.383
0.000 0.000 0.641
0.500 0.500 0.763
```

- Symmetry: P4mm
- DOS(E_F): 0.94 states/eV per atom
- Energy of formation from the pure elements: -0.40 eV per atom
- Total DFT energy (no corrections): -8.196 eV/atom

---

No. 14
Material: FeSnPtCl2
Method: DFT, GGA-PBEsol
State: relaxed

```
FeSnPtCl2
1.0
4.200 0.000 0.000
0.000 4.200 0.000
0.000 0.000 5.939
Fe Sn Pt Cl
1 1 1 2
direct
0.000 0.000 0.000
0.000 0.000 0.500
0.500 0.500 0.500
0.000 0.500 0.000
0.500 0.000 0.000
```

- Symmetry: P4/mmm
- DOS(E_F): 1.04 states/eV per atom
- Uncorrected formation energy: 0.244 eV per atom
- Total DFT energy (no corrections): -4.596 eV/atom

---

No. 15
Material: NiAs2
Method: DFT, GGA-PBEsol
State: relaxed

```
NiAs2
1.0
5.709 0.000 0.000
0.000 5.709 0.000
0.000 0.000 5.709
Ni As
4 8
direct
0.000 0.000 0.000
0.000 0.500 0.500
0.500 0.000 0.500
0.500 0.500 0.000
0.124 0.624 0.876
0.124 0.876 0.376
0.376 0.124 0.876
0.376 0.376 0.376
0.624 0.624 0.624
0.624 0.876 0.124
0.876 0.124 0.624
0.876 0.376 0.124
```

- Symmetry: Pa-3
- DOS(E_F): 0.28 states/eV per atom
- Energy of formation from the pure elements: -0.29 eV per atom
- Total DFT energy (no corrections): -5.750 eV/atom

---

No. 16
Material: LiZr2Cl
Method: DFT, GGA-PBEsol
State: relaxed

```
LiZr2Cl
1.0
-1.576 1.640 7.963
1.576 -1.640 7.963
1.576 1.640 -7.963
Li Zr Cl
1 2 1
direct
0.000 0.000 0.000
0.312 0.812 0.500
0.688 0.188 0.500
0.500 0.500 0.000
```

- Symmetry: Immm
- DOS(E_F): 0.82 states/eV per atom
- Uncorrected formation energy: -0.398 eV per atom
- Total DFT energy (no corrections): -5.936 eV/atom

---

No. 17
Material: TbCo12B6
Method: DFT, GGA-PBEsol
State: relaxed

```
TbCo12B6
1.0
4.634 2.675 2.436
-4.634 2.675 2.436
0.000 -5.350 2.436
Tb Co B
1 12 6
direct
0.000 0.000 0.000
0.132 0.500 0.868
0.132 0.868 0.500
0.186 0.456 0.456
0.456 0.186 0.456
0.456 0.456 0.186
0.500 0.132 0.868
0.500 0.868 0.132
0.544 0.544 0.814
0.544 0.814 0.544
0.814 0.544 0.544
0.868 0.132 0.500
0.868 0.500 0.132
0.233 0.233 0.679
0.233 0.679 0.233
0.321 0.767 0.767
0.679 0.233 0.233
0.767 0.321 0.767
0.767 0.767 0.321
```

- Symmetry: R-3m
- DOS(E_F): 0.69 states/eV per atom
- Energy of formation from the pure elements: -0.41 eV per atom
- Total DFT energy (no corrections): -7.779 eV/atom

---

No. 18
Material: CrTc2Ni
Method: DFT, GGA-PBEsol
State: relaxed

```
CrTc2Ni
1.0
3.694 0.000 0.000
0.000 3.694 0.000
0.000 0.000 3.614
Cr Tc Ni
1 2 1
direct
0.000 0.000 0.000
0.000 0.500 0.500
0.500 0.000 0.500
0.500 0.500 0.000
```

- Symmetry: P4/mmm
- DOS(E_F): 0.88 states/eV per atom
- Energy of formation from the pure elements: 0.02 eV per atom
- Total DFT energy (no corrections): -9.717 eV/atom

---

No. 19
Material: Ni2AsOs
Method: DFT, GGA-PBEsol
State: relaxed

```
Ni2AsOs
1.0
4.054 -1.403 0.000
4.054 1.403 0.000
-0.804 0.000 4.361
Ni As Os
2 1 1
direct
0.000 0.000 0.000
0.744 0.744 0.204
0.500 0.500 0.456
0.253 0.253 0.720
```

- Symmetry: Cm
- DOS(E_F): 0.97 states/eV per atom
- Energy of formation from the pure elements: 0.13 eV per atom
- Total DFT energy (no corrections): -7.283 eV/atom

---

No. 20
Material: TlSb2
Method: DFT, GGA-PBEsol
State: relaxed

```
TlSb2
1.0
-1.904 1.904 5.935
1.904 -1.904 5.935
1.904 1.904 -5.935
Tl Sb
1 2
direct
0.000 0.000 0.000
0.309 0.309 0.000
0.691 0.691 0.000
```

- Symmetry: I4/mmm
- DOS(E_F): 0.34 states/eV per atom
- Uncorrected formation energy: 0.034 eV per atom
- Total DFT energy (no corrections): -3.881 eV/atom

---

No. 21
Material: BN
Method: DFT, GGA-PBEsol
State: relaxed

```
BN
1.0
3.673 0.000 0.000
0.000 4.926 0.000
-1.920 0.000 4.542
B N
4 4
direct
0.000 0.142 0.141
0.000 0.358 0.641
0.000 0.642 0.359
0.000 0.858 0.859
0.001 0.157 0.843
0.001 0.343 0.343
0.999 0.657 0.657
0.999 0.843 0.157
```

- Symmetry: P2_1/c
- DOS(E_F): 0.00 states/eV per atom
- Uncorrected formation energy: -1.032 eV per atom
- Total DFT energy (no corrections): -8.803 eV/atom

---

No. 22
Material: CuOsRh2
Method: DFT, GGA-PBEsol
State: relaxed

```
CuOsRh2
1.0
2.672 0.000 0.000
0.000 3.778 0.000
0.000 0.000 5.226
Cu Os Rh
1 1 2
direct
0.000 0.000 0.000
0.500 0.500 0.258
0.000 0.000 0.491
0.500 0.500 0.768
```

- Symmetry: Pmm2
- DOS(E_F): 0.94 states/eV per atom
- Energy of formation from the pure elements: 0.15 eV per atom
- Total DFT energy (no corrections): -8.053 eV/atom

---

No. 23
Material: BaTaIr2
Method: DFT, GGA-PBEsol
State: relaxed

```
BaTaIr2
1.0
0.000 3.389 3.389
3.389 0.000 3.389
3.389 3.389 0.000
Ba Ta Ir
1 1 2
direct
0.000 0.000 0.000
0.500 0.500 0.500
0.250 0.250 0.250
0.750 0.750 0.750
```

- Symmetry: Fm-3m
- DOS(E_F): 0.73 states/eV per atom
- Energy of formation from the pure elements: 0.60 eV per atom
- Total DFT energy (no corrections): -7.985 eV/atom

---

No. 24
Material: RuPtW2
Method: DFT, GGA-PBEsol
State: relaxed

```
RuPtW2
1.0
-1.954 1.954 3.882
1.954 -1.954 3.882
1.954 1.954 -3.882
Ru Pt W
1 1 2
direct
0.000 0.000 0.000
0.750 0.250 0.500
0.250 0.750 0.500
0.500 0.500 0.000
```

- Symmetry: I-4m2
- DOS(E_F): 0.89 states/eV per atom
- Energy of formation from the pure elements: -0.03 eV per atom
- Total DFT energy (no corrections): -11.221 eV/atom

---

No. 25
Material: BaZr2
Method: DFT, GGA-PBEsol
State: relaxed

```
BaZr2
1.0
-3.467 3.467 3.252
3.467 -3.467 3.252
3.467 3.467 -3.252
Ba Zr
2 4
direct
0.250 0.250 0.000
0.750 0.750 0.000
0.143 0.643 0.786
0.357 0.143 0.500
0.643 0.857 0.500
0.857 0.357 0.214
```

- Symmetry: I4/mcm
- DOS(E_F): 0.95 states/eV per atom
- Energy of formation from the pure elements: 1.01 eV per atom
- Total DFT energy (no corrections): -5.766 eV/atom

---

no.,volume (Å³/atom),theoretical density (g/cm³)
1,13.4,6.3
2,11.0,7.9
3,23.7,6.5
4,24.8,6.8
5,36.5,2.5
6,16.6,3.9
7,24.8,10.0
8,12.1,7.7
9,18.9,7.6
10,14.6,8.3
11,19.1,12.7
12,18.2,3.5
13,21.2,6.0
14,20.9,7.0
15,15.5,7.4
16,20.6,4.5
17,9.5,8.5
18,12.3,10.3
19,12.4,12.8
20,28.7,8.6
21,10.3,2.0
22,13.2,14.5
23,19.5,15.0
24,14.8,18.6
25,26.1,6.8